[1]
# PrGdCdSi (PBE, relaxed)
# energy	-26.75	eV/f.u.
# DOS(E_F)	0.765	states/eV per atom
# E_form (uncorrected)	-0.39	eV/atom
data_PrGdCdSi
_cell_length_a 5.233
_cell_length_b 5.233
_cell_length_c 5.233
_cell_angle_alpha 60.00
_cell_angle_beta 60.00
_cell_angle_gamma 60.00
_space_group_name_H-M_alt 'P 1'
_space_group_IT_number 1
loop_
_space_group_symop_operation_xyz
'x,y,z'
loop_
_atom_site_label
_atom_site_type_symbol
_atom_site_fract_x
_atom_site_fract_y
_atom_site_fract_z
Pr1 Pr 0.500 0.500 0.500
Si1 Si 0.750 0.750 0.750
Gd1 Gd 0.000 0.000 0.000
Cd1 Cd 0.250 0.250 0.250



[2]
# LiTl3As2O6 (PBE, relaxed)
# energy	-60.91	eV/f.u.
# E_form (uncorrected)	-1.07	eV/atom
data_LiTl3As2O6
_cell_length_a 5.805
_cell_length_b 5.805
_cell_length_c 6.586
_cell_angle_alpha 90.00
_cell_angle_beta 90.00
_cell_angle_gamma 120.00
_space_group_name_H-M_alt 'P 1'
_space_group_IT_number 1
loop_
_space_group_symop_operation_xyz
'x,y,z'
loop_
_atom_site_label
_atom_site_type_symbol
_atom_site_fract_x
_atom_site_fract_y
_atom_site_fract_z
Li1 Li 0.000 0.000 0.500
Tl1 Tl 0.333 0.667 0.639
Tl2 Tl 0.667 0.333 0.361
Tl3 Tl 0.000 0.000 0.000
As1 As 0.667 0.333 0.879
As2 As 0.333 0.667 0.121
O1 O 0.657 0.828 0.243
O2 O 0.172 0.343 0.243
O3 O 0.172 0.828 0.243
O4 O 0.828 0.657 0.757
O5 O 0.343 0.172 0.757
O6 O 0.828 0.172 0.757



[3]
# V2CdOsCl (PBE, relaxed)
# energy	-22.06	eV/f.u.
# DOS(E_F)	3.912	states/eV per atom
# E_form (uncorrected)	2.03	eV/atom
data_V2CdOsCl
_cell_length_a 5.156
_cell_length_b 4.971
_cell_length_c 5.156
_cell_angle_alpha 90.00
_cell_angle_beta 90.00
_cell_angle_gamma 90.00
_space_group_name_H-M_alt 'P 1'
_space_group_IT_number 1
loop_
_space_group_symop_operation_xyz
'x,y,z'
loop_
_atom_site_label
_atom_site_type_symbol
_atom_site_fract_x
_atom_site_fract_y
_atom_site_fract_z
Cl1 Cl 0.500 0.500 0.500
V1 V 0.000 0.000 0.500
V2 V 0.500 0.000 0.000
Os1 Os 0.000 0.500 0.000
Cd1 Cd 0.000 0.000 0.000



[4]
# BiH2S (PBE, relaxed)
# energy	-12.58	eV/f.u.
# relative energy among the computed polymorphs	0.0	meV/atom
# DOS(E_F)	0.487	states/eV per atom
data_BiH2S
_cell_length_a 4.189
_cell_length_b 4.189
_cell_length_c 7.519
_cell_angle_alpha 73.82
_cell_angle_beta 73.82
_cell_angle_gamma 90.00
_space_group_name_H-M_alt 'P 1'
_space_group_IT_number 1
loop_
_space_group_symop_operation_xyz
'x,y,z'
loop_
_atom_site_label
_atom_site_type_symbol
_atom_site_fract_x
_atom_site_fract_y
_atom_site_fract_z
H1 H 0.736 0.125 0.250
H2 H 0.014 0.625 0.250
H3 H 0.375 0.264 0.750
H4 H 0.875 0.986 0.750
S1 S 0.500 0.500 0.000
S2 S 0.250 0.750 0.500
Bi1 Bi 0.000 0.000 0.000
Bi2 Bi 0.750 0.250 0.500



[5]
# PrBeS2O8 (PBE, relaxed)
# energy	-76.44	eV/f.u.
# DOS(E_F)	0.169	states/eV per atom
# E_form (uncorrected)	-1.67	eV/atom
data_PrBeS2O8
_cell_length_a 5.087
_cell_length_b 5.087
_cell_length_c 6.525
_cell_angle_alpha 90.00
_cell_angle_beta 90.00
_cell_angle_gamma 120.00
_space_group_name_H-M_alt 'P 1'
_space_group_IT_number 1
loop_
_space_group_symop_operation_xyz
'x,y,z'
loop_
_atom_site_label
_atom_site_type_symbol
_atom_site_fract_x
_atom_site_fract_y
_atom_site_fract_z
Pr1 Pr 0.000 0.000 0.500
Be1 Be 0.000 0.000 0.000
S1 S 0.333 0.667 0.771
S2 S 0.667 0.333 0.229
O1 O 0.162 0.324 0.819
O2 O 0.162 0.838 0.819
O3 O 0.676 0.838 0.819
O4 O 0.324 0.162 0.181
O5 O 0.667 0.333 0.462
O6 O 0.333 0.667 0.538
O7 O 0.838 0.676 0.181
O8 O 0.838 0.162 0.181



[6]
# Hf2Ti3Sn2 (PBE, relaxed)
# energy	-51.28	eV/f.u.
# relative energy among the computed polymorphs	0.0	meV/atom
# DOS(E_F)	1.117	states/eV per atom
# ΔH_f (0 K)	0.046	eV per atom
data_Hf2Ti3Sn2
_cell_length_a 2.968
_cell_length_b 4.819
_cell_length_c 10.005
_cell_angle_alpha 103.93
_cell_angle_beta 90.00
_cell_angle_gamma 90.00
_space_group_name_H-M_alt 'P 1'
_space_group_IT_number 1
loop_
_space_group_symop_operation_xyz
'x,y,z'
loop_
_atom_site_label
_atom_site_type_symbol
_atom_site_fract_x
_atom_site_fract_y
_atom_site_fract_z
Hf1 Hf 0.000 0.426 0.851
Hf2 Hf 0.000 0.574 0.149
Ti1 Ti 0.000 0.282 0.566
Ti2 Ti 0.000 0.000 0.000
Ti3 Ti 0.000 0.718 0.434
Sn1 Sn 0.500 0.146 0.292
Sn2 Sn 0.500 0.854 0.708



Which of these has the lowest energy?
PrBeS2O8



Please write out number 4 again, unchanged.
# BiH2S (PBE, relaxed)
# energy	-12.58	eV/f.u.
# relative energy among the computed polymorphs	0.0	meV/atom
# DOS(E_F)	0.487	states/eV per atom
data_BiH2S
_cell_length_a 4.189
_cell_length_b 4.189
_cell_length_c 7.519
_cell_angle_alpha 73.82
_cell_angle_beta 73.82
_cell_angle_gamma 90.00
_space_group_name_H-M_alt 'P 1'
_space_group_IT_number 1
loop_
_space_group_symop_operation_xyz
'x,y,z'
loop_
_atom_site_label
_atom_site_type_symbol
_atom_site_fract_x
_atom_site_fract_y
_atom_site_fract_z
H1 H 0.736 0.125 0.250
H2 H 0.014 0.625 0.250
H3 H 0.375 0.264 0.750
H4 H 0.875 0.986 0.750
S1 S 0.500 0.500 0.000
S2 S 0.250 0.750 0.500
Bi1 Bi 0.000 0.000 0.000
Bi2 Bi 0.750 0.250 0.500